Record 1
Material: Nd2Sm2C2IBr2Cl2
Method: DFT, GGA-PBE
State: relaxed

Output
energy above the lowest structure with this stoichiometry: 0.7 meV/atom

Cell lengths 9.6594, 9.6594, 8.6134 Å; angles 104.29, 104.29, 23.57 degrees
Sites, in units of the cell vectors:
Cl (0.1709, 0.1709, 0.3643)
Br (0.1654, 0.1654, 0.8487)
I (0.5000, 0.5000, 0.0000)
Sm (0.6596, 0.6596, 0.5961)
Nd (0.9986, 0.9986, 0.6913)
Nd (0.0014, 0.0014, 0.3087)
C (0.4617, 0.4617, 0.4768)
C (0.5383, 0.5383, 0.5232)
Cl (0.8291, 0.8291, 0.6357)
Sm (0.3404, 0.3404, 0.4039)
Br (0.8346, 0.8346, 0.1513)



Record 2
Material: CsNd2CuSe3S
Method: DFT, GGA-PBE
State: relaxed

Output
energy above the lowest structure with this stoichiometry: 0.0 meV/atom

Cell lengths 7.7268, 7.7268, 14.5742 Å; angles 90.00, 90.00, 148.27 degrees
Sites, in units of the cell vectors:
S (0.5836, 0.4164, 0.7500)
Nd (0.3656, 0.6344, 0.4346)
Nd (0.6344, 0.3656, 0.5654)
Se (0.0000, 0.0000, 0.0000)
Cu (0.1617, 0.8383, 0.7500)
Se (0.7386, 0.2614, 0.3880)
Se (0.2614, 0.7386, 0.6120)
Se (0.7386, 0.2614, 0.1120)
Nd (0.3656, 0.6344, 0.0654)
Cs (0.0991, 0.9009, 0.2500)
Cs (0.9009, 0.0991, 0.7500)
S (0.4164, 0.5836, 0.2500)
Se (0.0000, 0.0000, 0.5000)
Se (0.2614, 0.7386, 0.8880)
Cu (0.8383, 0.1617, 0.2500)
Nd (0.6344, 0.3656, 0.9346)



Record 3
Material: TaNiHgPb
Method: DFT, GGA-PBE
State: relaxed

Output
energy above the lowest structure with this stoichiometry: 80.7 meV/atom

Cell lengths 4.8069, 4.8069, 4.8069 Å; angles 60.00, 60.00, 60.00 degrees
Sites, in units of the cell vectors:
Ta (0.5000, 0.5000, 0.5000)
Pb (0.0000, 0.0000, 0.0000)
Hg (0.2500, 0.2500, 0.2500)
Ni (0.7500, 0.7500, 0.7500)